No. 1
Computed, not measured: a geometry-optimized PrSm2Al3 structure at the GGA-PBE level of DFT.

Unit cell a=3.702 b=3.702 c=11.132 alpha=90.00 beta=90.00 gamma=90.00
Atoms (fractional coordinates):
Al: 0.000 0.000 0.000
Al: 0.000 0.000 0.326
Pr: 0.500 0.500 0.500
Sm: 0.500 0.500 0.836
Sm: 0.500 0.500 0.164
Al: 0.000 0.000 0.674

Values from the calculation:
* total magnetic moment: 0.00 μB per atom
* energy: -27.61 eV per cell
* energy of formation from the pure elements: -0.36 eV per atom
* D(E_F): 0.387 states/eV per atom
* calculated volume: 25.4 Å³/atom
* density: 5.7 g/cm3
* energy above the most stable polymorph in this dataset: 0.000 eV/atom



No. 2
Computed, not measured: a geometry-optimized W2BrCl structure at the GGA-PBE level of DFT.

Unit cell a=4.660 b=4.660 c=5.133 alpha=79.21 beta=79.21 gamma=37.71
Atoms (fractional coordinates):
W: 0.999 0.999 0.015
W: 0.501 0.501 0.485
Br: 0.750 0.750 0.750
Cl: 0.250 0.250 0.250

Values from the calculation:
* total magnetic moment: 0.00 μB per atom
* energy: -25.17 eV per cell
* D(E_F): 0.913 states/eV per atom
* calculated volume: 16.7 Å³/atom
* formation energy without anion corrections: 1.064 eV/atom
* density: 12.0 g/cm3
* energy above the most stable polymorph in this dataset: 1.134 eV/atom



No. 3
Computed, not measured: a geometry-optimized Tb5Th4Sc2 structure at the GGA-PBE level of DFT.

Unit cell a=3.552 b=8.556 c=11.651 alpha=104.57 beta=98.77 gamma=90.00
Atoms (fractional coordinates):
Th: 0.319 0.551 0.638
Sc: 0.588 0.714 0.177
Th: 0.045 0.367 0.090
Tb: 0.224 0.808 0.448
Tb: 0.776 0.192 0.552
Tb: 0.864 0.913 0.727
Tb: 0.136 0.087 0.273
Sc: 0.412 0.286 0.823
Th: 0.955 0.633 0.910
Th: 0.681 0.449 0.362
Tb: 0.500 0.000 0.000

Values from the calculation:
* total magnetic moment: 0.00 μB per atom
* energy: -65.12 eV per cell
* energy of formation from the pure elements: 0.03 eV per atom
* D(E_F): 1.516 states/eV per atom
* calculated volume: 30.8 Å³/atom
* density: 8.9 g/cm3
* energy above the most stable polymorph in this dataset: 0.000 eV/atom



No. 4
Computed, not measured: a geometry-optimized Cs4BrCl3 structure at the GGA-PBE level of DFT.

Unit cell a=7.153 b=7.153 c=8.759 alpha=114.12 beta=114.12 gamma=89.97
Atoms (fractional coordinates):
Cs: 0.500 0.000 0.000
Cs: 0.000 0.500 0.000
Cs: 0.258 0.258 0.515
Cl: 0.500 0.500 0.000
Cl: 0.750 0.250 0.500
Br: 0.000 0.000 0.000
Cl: 0.250 0.750 0.500
Cs: 0.742 0.742 0.485

Values from the calculation:
* total magnetic moment: 0.01 μB per atom
* energy: -25.97 eV per cell
* D(E_F): 0.000 states/eV per atom
* calculated volume: 45.7 Å³/atom
* formation energy without anion corrections: -1.918 eV/atom
* density: 3.3 g/cm3



No. 5
Computed, not measured: a geometry-optimized V2SbRhI structure at the GGA-PBE level of DFT.

Unit cell a=4.976 b=4.872 c=4.976 alpha=90.00 beta=90.00 gamma=90.00
Atoms (fractional coordinates):
Sb: 0.500 0.500 0.500
V: 0.500 0.000 0.000
V: 0.000 0.000 0.500
Rh: 0.000 0.500 0.000
I: 0.000 0.000 0.000

Values from the calculation:
* total magnetic moment: 0.99 μB per atom
* energy: -25.54 eV per cell
* D(E_F): 1.070 states/eV per atom
* calculated volume: 24.1 Å³/atom
* formation energy without anion corrections: 1.144 eV/atom
* density: 6.2 g/cm3



No. 6
Computed, not measured: a geometry-optimized BeCd2Te structure at the GGA-PBE level of DFT.

Unit cell a=5.058 b=5.058 c=5.058 alpha=60.00 beta=60.00 gamma=60.00
Atoms (fractional coordinates):
Te: 0.750 0.750 0.750
Cd: 0.000 0.000 0.000
Cd: 0.250 0.250 0.250
Be: 0.500 0.500 0.500

Values from the calculation:
* total magnetic moment: 0.00 μB per atom
* energy: -6.59 eV per cell
* D(E_F): 0.619 states/eV per atom
* calculated volume: 22.9 Å³/atom
* formation energy without anion corrections: 0.528 eV/atom
* density: 6.6 g/cm3
* energy above the most stable polymorph in this dataset: 0.363 eV/atom



No. 7
Computed, not measured: a geometry-optimized TaCu2Te structure at the GGA-PBE level of DFT.

Unit cell a=5.205 b=5.205 c=5.205 alpha=135.92 beta=135.92 gamma=64.11
Atoms (fractional coordinates):
Cu: 0.000 0.000 0.000
Ta: 0.250 0.750 0.500
Cu: 0.500 0.500 0.000
Te: 0.750 0.250 0.500

Values from the calculation:
* total magnetic moment: 0.00 μB per atom
* energy: -21.26 eV per cell
* D(E_F): 0.836 states/eV per atom
* calculated volume: 16.8 Å³/atom
* formation energy without anion corrections: 0.481 eV/atom
* density: 10.7 g/cm3



No. 8
Computed, not measured: a geometry-optimized VSi2AgSn structure at the GGA-PBE level of DFT.

Unit cell a=4.612 b=5.125 c=4.612 alpha=90.00 beta=90.00 gamma=90.00
Atoms (fractional coordinates):
V: 0.000 0.000 0.000
Ag: 0.000 0.500 0.000
Sn: 0.500 0.500 0.500
Si: 0.000 0.000 0.500
Si: 0.500 0.000 0.000

Values from the calculation:
* total magnetic moment: 0.05 μB per atom
* energy: -23.77 eV per cell
* D(E_F): 0.487 states/eV per atom
* calculated volume: 21.8 Å³/atom
* formation energy without anion corrections: 0.609 eV/atom
* density: 5.1 g/cm3



No. 9
Computed, not measured: a geometry-optimized Pu4IrRu structure at the GGA-PBE level of DFT.

Unit cell a=6.086 b=7.414 c=7.657 alpha=113.50 beta=107.06 gamma=102.40
Atoms (fractional coordinates):
Pu: 0.335 0.622 0.860
Ir: 0.618 0.368 0.736
Pu: 0.975 0.762 0.140
Ir: 0.382 0.632 0.264
Ru: 0.254 0.004 0.008
Pu: 0.338 0.940 0.631
Pu: 0.665 0.378 0.140
Ru: 0.746 0.996 0.992
Pu: 0.793 0.691 0.631
Pu: 0.207 0.309 0.369
Pu: 0.662 0.060 0.369
Pu: 0.025 0.238 0.860

Values from the calculation:
* total magnetic moment: 3.64 μB per atom
* energy: -153.42 eV per cell
* energy of formation from the pure elements: -0.21 eV per atom
* D(E_F): 3.806 states/eV per atom
* calculated volume: 23.4 Å³/atom
* density: 15.0 g/cm3
* energy above the most stable polymorph in this dataset: 0.000 eV/atom



No. 10
Computed, not measured: a geometry-optimized InTeRu2 structure at the GGA-PBE level of DFT.

Unit cell a=3.075 b=3.075 c=8.163 alpha=90.00 beta=90.00 gamma=90.00
Atoms (fractional coordinates):
Ru: 0.000 0.000 0.026
Te: 0.000 0.000 0.438
Ru: 0.500 0.500 0.230
In: 0.500 0.500 0.806

Values from the calculation:
* total magnetic moment: 0.00 μB per atom
* energy: -23.43 eV per cell
* D(E_F): 0.753 states/eV per atom
* calculated volume: 19.3 Å³/atom
* formation energy without anion corrections: 0.250 eV/atom
* density: 9.6 g/cm3
* energy above the most stable polymorph in this dataset: 0.083 eV/atom



No. 11
Computed, not measured: a geometry-optimized SrTa2Se structure at the GGA-PBE level of DFT.

Unit cell a=5.938 b=5.938 c=3.051 alpha=90.00 beta=90.00 gamma=122.83
Atoms (fractional coordinates):
Sr: 0.000 0.500 0.500
Ta: 0.500 0.500 0.000
Ta: 0.000 0.000 0.000
Se: 0.500 0.000 0.500

Values from the calculation:
* total magnetic moment: 0.00 μB per atom
* energy: -25.54 eV per cell
* D(E_F): 1.307 states/eV per atom
* calculated volume: 22.6 Å³/atom
* formation energy without anion corrections: 0.833 eV/atom
* density: 9.7 g/cm3